The following is a DFT calculation (GGA-PBE) of a geometry-optimized ErMg2NpO6 structure.

## Properties
E_form (uncorrected), eV per atom: -2.97

The structure in CIF format:
```
data_ErMg2NpO6
_cell_length_a 5.4794
_cell_length_b 5.4794
_cell_length_c 14.6581
_cell_angle_alpha 90.00
_cell_angle_beta 90.00
_cell_angle_gamma 120.00
_space_group_name_H-M_alt 'R 3'
_space_group_IT_number 146
_space_group_name_Hall 'R 3'
loop_
_atom_site_label
_atom_site_fract_x
_atom_site_fract_y
_atom_site_fract_z
_atom_site_occupancy
Er1 0.0000 0.0000 0.0000 1
Mg1 0.0000 0.0000 0.2828 1
Mg2 0.0000 0.0000 0.7899 1
Np1 0.0000 0.0000 0.4926 1
O1 0.0081 0.3092 0.8915 1
O2 0.0214 0.7169 0.3946 1
```

The following is a DFT calculation (GGA-PBE) of a geometry-optimized ScTeO2F structure.

## Properties
E_form (uncorrected), eV per atom: -1.88

The structure in CIF format:
```
data_ScTeO2F
_cell_length_a 4.212
_cell_length_b 4.212
_cell_length_c 4.010
_cell_angle_alpha 90.00
_cell_angle_beta 90.00
_cell_angle_gamma 90.00
_space_group_name_H-M_alt 'P 4/m m m'
_space_group_IT_number 123
_space_group_name_Hall '-P 4 2'
loop_
_atom_site_label
_atom_site_fract_x
_atom_site_fract_y
_atom_site_fract_z
_atom_site_occupancy
Sc1 0.000 0.000 0.000 1
Te1 0.500 0.500 0.500 1
O1 0.000 0.500 0.000 1
F1 0.000 0.000 0.500 1
```

The following is a DFT calculation (GGA-PBE) of a geometry-optimized ErCdTeO6 structure.

## Properties
E_form (uncorrected), eV per atom: -1.64

The structure in CIF format:
```
data_ErCdTeO6
_cell_length_a 5.020
_cell_length_b 5.020
_cell_length_c 10.005
_cell_angle_alpha 90.00
_cell_angle_beta 90.00
_cell_angle_gamma 90.00
_space_group_name_H-M_alt 'P 42 n m'
_space_group_IT_number 102
_space_group_name_Hall 'P 4n -2n'
loop_
_atom_site_label
_atom_site_fract_x
_atom_site_fract_y
_atom_site_fract_z
_atom_site_occupancy
Er1 0.000 0.000 0.000 1
Cd1 0.000 0.000 0.330 1
Te1 0.000 0.000 0.665 1
O1 0.180 0.180 0.812 1
O2 0.188 0.188 0.524 1
O3 0.226 0.226 0.157 1
```

The following is a DFT calculation (GGA-PBE) of a geometry-optimized SmGe2Pt3 structure.

## Properties
Energy of formation, eV/atom: -0.660

The structure in CIF format:
```
data_SmGe2Pt3
_cell_length_a 4.479
_cell_length_b 4.627
_cell_length_c 11.898
_cell_angle_alpha 90.00
_cell_angle_beta 90.00
_cell_angle_gamma 90.00
_space_group_name_H-M_alt 'I m m m'
_space_group_IT_number 71
_space_group_name_Hall '-I 2 2'
loop_
_atom_site_label
_atom_site_fract_x
_atom_site_fract_y
_atom_site_fract_z
_atom_site_occupancy
Sm1 0.000 0.000 0.000 1
Ge1 0.000 0.000 0.276 1
Pt1 0.000 0.000 0.500 1
Pt2 0.000 0.500 0.343 1
```

The following is a DFT calculation (GGA-PBE) of a geometry-optimized TaBeSe2 structure.

## Properties
E_form (uncorrected), eV per atom: -0.03

The structure in CIF format:
```
data_TaBeSe2
_cell_length_a 8.482
_cell_length_b 3.390
_cell_length_c 5.054
_cell_angle_alpha 90.00
_cell_angle_beta 90.78
_cell_angle_gamma 90.00
_space_group_name_H-M_alt 'C 1 2/m 1'
_space_group_IT_number 12
_space_group_name_Hall '-C 2y'
loop_
_atom_site_label
_atom_site_fract_x
_atom_site_fract_y
_atom_site_fract_z
_atom_site_occupancy
Ta1 0.000 0.000 0.000 1
Be1 0.000 0.500 0.500 1
Se1 0.192 0.500 0.232 1
```

The following is a DFT calculation (GGA-PBE) of a geometry-optimized YTe2Rh structure.

## Properties
ΔE to the lowest computed polymorph, eV/atom: 0.566
E_form (uncorrected), eV per atom: -0.25

The structure in CIF format:
```
data_YTe2Rh
_cell_length_a 7.242
_cell_length_b 7.242
_cell_length_c 7.242
_cell_angle_alpha 90.00
_cell_angle_beta 90.00
_cell_angle_gamma 90.00
_space_group_name_H-M_alt 'F -4 3 m'
_space_group_IT_number 216
_space_group_name_Hall 'F -4 2 3'
loop_
_atom_site_label
_atom_site_fract_x
_atom_site_fract_y
_atom_site_fract_z
_atom_site_occupancy
Y1 0.000 0.000 0.000 1
Te1 0.000 0.000 0.500 1
Te2 0.250 0.250 0.250 1
Rh1 0.250 0.250 0.750 1
```

The following is a DFT calculation (GGA-PBE) of a geometry-optimized TcSbPdF2 structure.

## Properties
ΔE to the lowest computed polymorph, eV/atom: 0.000
E_form (uncorrected), eV per atom: -0.63

The structure in CIF format:
```
data_TcSbPdF2
_cell_length_a 3.985
_cell_length_b 3.985
_cell_length_c 5.677
_cell_angle_alpha 90.00
_cell_angle_beta 90.00
_cell_angle_gamma 90.00
_space_group_name_H-M_alt 'P 4/m m m'
_space_group_IT_number 123
_space_group_name_Hall '-P 4 2'
loop_
_atom_site_label
_atom_site_fract_x
_atom_site_fract_y
_atom_site_fract_z
_atom_site_occupancy
Tc1 0.000 0.000 0.000 1
Sb1 0.500 0.500 0.500 1
Pd1 0.000 0.000 0.500 1
F1 0.000 0.500 0.000 1
```

The following is a DFT calculation (GGA-PBE) of a geometry-optimized Na2Ag2O3 structure.

## Properties
ΔE to the lowest computed polymorph, eV/atom: 0.000
E_form (uncorrected), eV per atom: -0.55

The structure in CIF format:
```
data_Na2Ag2O3
_cell_length_a 11.912
_cell_length_b 3.202
_cell_length_c 5.985
_cell_angle_alpha 90.00
_cell_angle_beta 112.55
_cell_angle_gamma 90.00
_space_group_name_H-M_alt 'C 1 2/m 1'
_space_group_IT_number 12
_space_group_name_Hall '-C 2y'
loop_
_atom_site_label
_atom_site_fract_x
_atom_site_fract_y
_atom_site_fract_z
_atom_site_occupancy
Na1 0.144 0.000 0.259 1
Ag1 0.104 0.500 0.777 1
O1 0.000 0.500 0.000 1
O2 0.185 0.000 0.669 1
```

The following is a DFT calculation (GGA-PBE) of a geometry-optimized Ca3SbI structure.

## Properties
ΔE to the lowest computed polymorph, eV/atom: 0.000
E_form (uncorrected), eV per atom: -0.55

The structure in CIF format:
```
data_Ca3SbI
_cell_length_a 5.998
_cell_length_b 5.998
_cell_length_c 5.998
_cell_angle_alpha 90.00
_cell_angle_beta 90.00
_cell_angle_gamma 90.00
_space_group_name_H-M_alt 'P m -3 m'
_space_group_IT_number 221
_space_group_name_Hall '-P 4 2 3'
loop_
_atom_site_label
_atom_site_fract_x
_atom_site_fract_y
_atom_site_fract_z
_atom_site_occupancy
Ca1 0.000 0.000 0.500 1
Sb1 0.000 0.000 0.000 1
I1 0.500 0.500 0.500 1
```

The following is a DFT calculation (GGA-PBE) of a geometry-optimized BaMo2Ru structure.

## Properties
ΔE to the lowest computed polymorph, eV/atom: 0.386
Energy of formation, eV/atom: 1.029

The structure in CIF format:
```
data_BaMo2Ru
_cell_length_a 2.9643
_cell_length_b 2.9643
_cell_length_c 31.0544
_cell_angle_alpha 90.00
_cell_angle_beta 90.00
_cell_angle_gamma 120.00
_space_group_name_H-M_alt 'R -3 m'
_space_group_IT_number 166
_space_group_name_Hall '-R 3 2"'
loop_
_atom_site_label
_atom_site_fract_x
_atom_site_fract_y
_atom_site_fract_z
_atom_site_occupancy
Ba1 0.0000 0.0000 0.0000 1
Mo1 0.0000 0.0000 0.2340 1
Ru1 0.0000 0.0000 0.5000 1
```

The following is a DFT calculation (GGA-PBE) of a geometry-optimized Sc2Sb2Mo structure.

## Properties
E_form (uncorrected), eV per atom: -0.43

The structure in CIF format:
```
data_Sc2Sb2Mo
_cell_length_a 7.190
_cell_length_b 7.190
_cell_length_c 4.125
_cell_angle_alpha 90.00
_cell_angle_beta 90.00
_cell_angle_gamma 90.00
_space_group_name_H-M_alt 'P 4/m b m'
_space_group_IT_number 127
_space_group_name_Hall '-P 4 2ab'
loop_
_atom_site_label
_atom_site_fract_x
_atom_site_fract_y
_atom_site_fract_z
_atom_site_occupancy
Sc1 0.164 0.336 0.000 1
Sb1 0.145 0.645 0.500 1
Mo1 0.000 0.000 0.500 1
```

The following is a DFT calculation (GGA-PBE) of a geometry-optimized CaInMoPb2 structure.

## Properties
ΔE to the lowest computed polymorph, eV/atom: 0.000
Energy of formation, eV/atom: 1.143

The structure in CIF format:
```
data_CaInMoPb2
_cell_length_a 5.717
_cell_length_b 5.717
_cell_length_c 5.793
_cell_angle_alpha 90.00
_cell_angle_beta 90.00
_cell_angle_gamma 90.00
_space_group_name_H-M_alt 'P 4/m m m'
_space_group_IT_number 123
_space_group_name_Hall '-P 4 2'
loop_
_atom_site_label
_atom_site_fract_x
_atom_site_fract_y
_atom_site_fract_z
_atom_site_occupancy
Ca1 0.000 0.000 0.000 1
In1 0.000 0.000 0.500 1
Mo1 0.500 0.500 0.000 1
Pb1 0.000 0.500 0.500 1
```